A plane-wave DFT calculation with GGA+U was carried out for a relaxed structure of La2VInO6.

Structure (extended XYZ):
```
20
Lattice="5.675 0.000 0.000 0.000 5.861 0.000 -5.634 0.000 8.154" Properties=species:S:1:pos:R:3 pbc="T T T"
La -0.073 0.311 2.042
La -2.890 2.620 6.119
La 2.930 3.241 2.036
La 0.113 5.550 6.113
V -2.817 0.000 4.077
V 0.000 2.930 0.000
In 2.837 0.000 0.000
In 0.020 2.930 4.077
O -4.547 1.239 7.682
O -1.730 1.691 3.605
O -3.985 4.071 7.718
O -1.168 4.720 3.641
O -2.209 0.214 6.059
O 0.608 2.716 1.982
O -0.568 3.145 6.173
O 2.249 5.646 2.095
O 1.208 1.140 4.514
O 4.025 1.790 0.436
O 1.770 4.169 4.550
O 4.587 4.622 0.473
```

Summary:
Electronic total energy: -7.65 eV/atom
Magnetic moment: 0.2000 μB/atom
D(E_F): 0.000 states/eV/atom
SG: No. 14